{
  "formula": "GaH4",
  "functional": "PBE",
  "state": "relaxed",
  "spacegroup": "Pm-3m",
  "m_tot_mub_per_fu": 1.007,
  "e_above_lowest_polymorph_ev_per_fu": 2.63,
  "dft_energy_ev_per_cell": -13.2,
  "lattice_angstrom": [[-0.5168, -2.6739, 2.2065], [-0.6160, -2.1246, -2.7189], [3.4116, -0.7886, -0.1567]],
  "species": ["Ga", "H", "H", "H", "H"],
  "fractional_positions": [[0.5000, 0.5000, 0.5000], [0.5000, 0.5000, 0.0000], [0.5000, 0.0000, 0.5000], [0.0000, 0.0000, 0.0000], [0.0000, 0.5000, 0.5000]]
}

=====

{
  "formula": "Ni2HgTe2",
  "functional": "PBE",
  "state": "relaxed",
  "spacegroup": "P4/mbm",
  "m_tot_mub_per_fu": 0.000,
  "e_above_lowest_polymorph_ev_per_fu": 1.25,
  "dft_energy_ev_per_cell": -34.9,
  "e_form_raw_ev_per_atom": 0.1397,
  "lattice_angstrom": [[-6.9452, 1.9654, -0.8304], [-0.6122, -4.5443, -5.6359], [-1.0313, -2.6829, 2.2753]],
  "species": ["Ni", "Ni", "Ni", "Ni", "Te", "Te", "Te", "Te", "Hg", "Hg"],
  "fractional_positions": [[0.3776, 0.8776, 0.0000], [0.8776, 0.6224, 0.0000], [0.1224, 0.3776, 0.0000], [0.6224, 0.1224, 0.0000], [0.6600, 0.8400, 0.5000], [0.3400, 0.1600, 0.5000], [0.1600, 0.6600, 0.5000], [0.8400, 0.3400, 0.5000], [0.5000, 0.5000, 0.0000], [0.0000, 0.0000, 0.0000]]
}